Record 1
This record from Alexandria via LeMat-Bulk describes LiPr3Ni3 after structural relaxation. The functional is GGA-PBE.

## Properties
space-group type: Cmcm, No. 63
formation energy: -1.50 eV per formula unit

a = 5.5393 Å, b = 5.5393 Å, c = 13.7324 Å
α = 90.00°, β = 90.00°, γ = 135.15°
Closest atoms and distances in Å follow each position.
Positions (direct):
Li1 0.0000 0.0000 0.0000  4 Ni 2.64
Li2 0.0000 0.0000 0.5000  4 Ni 2.64
Pr1 0.0182 0.9818 0.7500  7 Ni 2.98-3.09
Pr2 0.2988 0.7012 0.6041  6 Ni 2.96-3.02, 2 Li 3.28
Pr3 0.2988 0.7012 0.8959  6 Ni 2.96-3.02, 2 Li 3.28
Pr4 0.7012 0.2988 0.1041  6 Ni 2.96-3.02, 2 Li 3.28
Pr5 0.7012 0.2988 0.3959  6 Ni 2.96-3.02, 2 Li 3.28
Pr6 0.9818 0.0182 0.2500  7 Ni 2.98-3.09
Ni1 0.2763 0.7237 0.2500  2 Ni 2.55
Ni2 0.4113 0.5887 0.0941  1 Ni 2.55, 2 Li 2.64
Ni3 0.4113 0.5887 0.4059  1 Ni 2.55, 2 Li 2.64
Ni4 0.5887 0.4113 0.5941  1 Ni 2.55, 2 Li 2.64
Ni5 0.5887 0.4113 0.9059  1 Ni 2.55, 2 Li 2.64
Ni6 0.7237 0.2763 0.7500  2 Ni 2.55

Record 2
This record from Alexandria via LeMat-Bulk describes GeSbAu after structural relaxation. The functional is GGA-PBE.

## Properties
space-group type: P2_1/c, No. 14
uncorrected formation energy: 0.24 eV per formula unit

a = 6.6023 Å, b = 6.6112 Å, c = 6.5596 Å
α = 90.00°, β = 95.10°, γ = 90.00°
Closest atoms and distances in Å follow each position.
Positions (direct):
Ge1 0.1653 0.0288 0.2172  2 Au 2.61-2.65, 3 Sb 2.83-2.87
Ge2 0.1653 0.4712 0.7172  2 Au 2.61-2.65, 3 Sb 2.83-2.87
Ge3 0.8347 0.5288 0.2828  2 Au 2.61-2.65, 3 Sb 2.83-2.87
Ge4 0.8347 0.9712 0.7828  2 Au 2.61-2.65, 3 Sb 2.83-2.87
Sb1 0.2554 0.6162 0.3233  2 Au 2.77-2.94, 3 Ge 2.83-2.87
Sb2 0.2554 0.8838 0.8233  2 Au 2.77-2.94, 3 Ge 2.83-2.87
Sb3 0.7446 0.1162 0.1767  2 Au 2.77-2.94, 3 Ge 2.83-2.87
Sb4 0.7446 0.3838 0.6767  2 Au 2.77-2.94, 3 Ge 2.83-2.87
Au1 0.3623 0.1744 0.5472  2 Ge 2.61-2.65, 1 Sb 2.77
Au2 0.3623 0.3256 0.0472  2 Ge 2.61-2.65, 1 Sb 2.77
Au3 0.6377 0.6744 0.9528  2 Ge 2.61-2.65, 1 Sb 2.77
Au4 0.6377 0.8256 0.4528  2 Ge 2.61-2.65, 1 Sb 2.77

Record 3
This record from Alexandria via LeMat-Bulk describes V7Mo3Os2 after structural relaxation. The functional is GGA-PBE.

## Properties
space-group type: Cmmm, No. 65
formation energy: 1.77 eV per formula unit

a = 10.3136 Å, b = 10.3136 Å, c = 4.2785 Å
α = 90.00°, β = 90.00°, γ = 156.18°
Closest atoms and distances in Å follow each position.
Positions (direct):
V1 0.0000 0.0000 0.0000  8 V 2.59-2.64
V2 0.0770 0.9230 0.5000  2 Os 2.58, 4 Mo 2.62-2.64, 2 V 2.64
V3 0.2836 0.7164 0.0000  2 Mo 2.49, 2 V 2.53, 3 Os 2.53-2.73
V4 0.4269 0.5731 0.0000  3 V 2.59-2.89, 4 Mo 2.60-2.68, 2 Os 2.61
V5 0.5731 0.4269 0.0000  3 V 2.59-2.89, 4 Mo 2.60-2.68, 2 Os 2.61
V6 0.7164 0.2836 0.0000  2 Mo 2.49, 2 V 2.53, 3 Os 2.53-2.73
V7 0.9230 0.0770 0.5000  2 Os 2.58, 4 Mo 2.62-2.64, 2 V 2.64
Mo1 0.3472 0.6528 0.5000  6 V 2.49-2.68
Mo2 0.5000 0.5000 0.5000  8 V 2.60-2.64
Mo3 0.6528 0.3472 0.5000  6 V 2.49-2.68
Os1 0.1484 0.8516 0.0000  7 V 2.53-2.73
Os2 0.8516 0.1484 0.0000  7 V 2.53-2.73